[1]
Entry from Alexandria via LeMat-Bulk: a geometry-optimized MnNiRu2 structure (PBE).

It has space group P4mm (No. 99), with a = 2.6994 Å, b = 2.6994 Å, c = 7.2007 Å, α = 90.00°, β = 90.00° and γ = 90.00°. Symmetry generates all atoms from Mn at (0.0000, 0.0000, 0.0000), Ni at (0.5000, 0.5000, 0.2329), Ru at (0.0000, 0.0000, 0.4856) and Ru at (0.5000, 0.5000, 0.7384).

The calculation puts the density of states at the Fermi level at 1.2282 states/eV/atom. The calculated volume comes out at 52 Å³/f.u. The calculated formation energy comes out at 109 meV per atom. The crystal system is tetragonal.

***

[2]
Entry from Alexandria via LeMat-Bulk: a geometry-optimized MnNi2Ru2 structure (PBE).

It has space group P4/mbm (No. 127), with a = 7.0975 Å, b = 7.0975 Å, c = 2.6925 Å, α = 90.00°, β = 90.00° and γ = 90.00°. Symmetry generates all atoms from Mn at (0.0000, 0.0000, 0.0000), Ni at (0.1705, 0.3295, 0.5000) and Ru at (0.1265, 0.6265, 0.0000).

The calculation puts the density of states at the Fermi level at 1.4434 states/eV/atom. The calculated volume comes out at 68 Å³/f.u. The calculated formation energy comes out at 365 meV per atom. The crystal system is tetragonal. The energy above the lowest structure with this stoichiometry comes out at 70.6 meV/atom.

***

[3]
Entry from Alexandria via LeMat-Bulk: a geometry-optimized MnNiRu2 structure (PBE).

It has space group Cmm2 (No. 35), with a = 2.7862 Å, b = 4.4622 Å, c = 8.5946 Å, α = 90.00°, β = 90.00° and γ = 90.00°. Symmetry generates all atoms from Mn at (0.0000, 0.0000, 0.0000), Ni at (0.0000, 0.5000, 0.7669), Ru at (0.0000, 0.0000, 0.5145) and Ru at (0.0000, 0.5000, 0.2490).

The calculation puts the density of states at the Fermi level at 1.2799 states/eV/atom. The calculated volume comes out at 53 Å³/f.u. The calculated formation energy comes out at 330 meV per atom. The crystal system is orthorhombic.

***

[4]
Entry from Alexandria via LeMat-Bulk: a geometry-optimized MnNiRu2 structure (PBE).

It has space group Cmmm (No. 65), with a = 2.8712 Å, b = 4.3743 Å, c = 8.4336 Å, α = 90.00°, β = 90.00° and γ = 90.00°. Symmetry generates all atoms from Mn at (0.0000, 0.0000, 0.0000), Ni at (0.0000, 0.0000, 0.5000) and Ru at (0.0000, 0.5000, 0.2490).

The calculation puts the density of states at the Fermi level at 1.6751 states/eV/atom. The calculated volume comes out at 53 Å³/f.u. The calculated formation energy comes out at 308 meV per atom. The crystal system is orthorhombic.

***

[5]
Entry from Alexandria via LeMat-Bulk: a geometry-optimized MnNiRu2 structure (PBE).

It has space group Pmm2 (No. 25), with a = 2.6950 Å, b = 3.6901 Å, c = 5.2206 Å, α = 90.00°, β = 90.00° and γ = 90.00°. Symmetry generates all atoms from Mn at (0.0000, 0.0000, 0.0000), Ni at (0.5000, 0.5000, 0.2308), Ru at (0.0000, 0.0000, 0.4879) and Ru at (0.5000, 0.5000, 0.7315).

The calculation puts the density of states at the Fermi level at 0.9536 states/eV/atom. The calculated volume comes out at 52 Å³/f.u. The calculated formation energy comes out at 59 meV per atom. The crystal system is orthorhombic.

***

[6]
Entry from Alexandria via LeMat-Bulk: a geometry-optimized MnNiRu structure (PBE).

It has space group P3m1 (No. 156), with a = 2.5990 Å, b = 2.5990 Å, c = 6.2284 Å, α = 90.00°, β = 90.00° and γ = 120.00°. Symmetry generates all atoms from Mn at (0.0000, 0.0000, 0.0000), Ni at (0.6667, 0.3333, 0.3238) and Ru at (0.3333, 0.6667, 0.6777).

The calculation puts the density of states at the Fermi level at 1.4418 states/eV/atom. The calculated volume comes out at 36 Å³/f.u. The calculated formation energy comes out at 132 meV per atom. The crystal system is trigonal. The energy above the lowest structure with this stoichiometry comes out at 72.8 meV/atom.

***

[7]
Entry from Alexandria via LeMat-Bulk: a geometry-optimized MnNiRu2 structure (PBE).

It has space group Pmmm (No. 47), with a = 2.6282 Å, b = 3.6444 Å, c = 5.2704 Å, α = 90.00°, β = 90.00° and γ = 90.00°. Symmetry generates all atoms from Mn at (0.0000, 0.0000, 0.0000), Ni at (0.0000, 0.0000, 0.5000) and Ru at (0.5000, 0.5000, 0.2500).

The calculation puts the density of states at the Fermi level at 1.4932 states/eV/atom. The calculated volume comes out at 50 Å³/f.u. The calculated formation energy comes out at 110 meV per atom. The crystal system is orthorhombic.

***

[8]
Entry from Alexandria via LeMat-Bulk: a geometry-optimized MnNiRu2 structure (PBE).

It has space group Cm (No. 8), with a = 8.7726 Å, b = 2.6795 Å, c = 4.4839 Å, α = 90.00°, β = 100.66° and γ = 90.00°. Symmetry generates all atoms from Mn at (0.0000, 0.0000, 0.0000), Ni at (0.2467, 0.5000, 0.2252), Ru at (0.2481, 0.0000, 0.7253) and Ru at (0.4967, 0.0000, 0.4900).

The calculation puts the density of states at the Fermi level at 1.1268 states/eV/atom. The calculated volume comes out at 52 Å³/f.u. The calculated formation energy comes out at 75 meV per atom. The crystal system is monoclinic.

***

[9]
Entry from Alexandria via LeMat-Bulk: a geometry-optimized MnNiRu3 structure (PBE).

It has space group Pm-3m (No. 221), with a = 4.3628 Å, b = 4.3628 Å, c = 4.3628 Å, α = 90.00°, β = 90.00° and γ = 90.00°. Symmetry generates all atoms from Mn at (0.0000, 0.0000, 0.0000), Ni at (0.5000, 0.5000, 0.5000) and Ru at (0.0000, 0.0000, 0.5000).

The calculation puts the density of states at the Fermi level at 1.4848 states/eV/atom. The calculated volume comes out at 83 Å³/f.u. The calculated formation energy comes out at 1436 meV per atom. The crystal system is cubic.

***

[10]
Entry from Alexandria via LeMat-Bulk: a geometry-optimized MnNiRu2 structure (PBE).

It has space group Fm-3m (No. 225), with a = 5.8593 Å, b = 5.8593 Å, c = 5.8593 Å, α = 90.00°, β = 90.00° and γ = 90.00°. Symmetry generates all atoms from Mn at (0.0000, 0.0000, 0.0000), Ni at (0.0000, 0.0000, 0.5000) and Ru at (0.2500, 0.2500, 0.2500).

The calculation puts the density of states at the Fermi level at 2.7578 states/eV/atom. The calculated volume comes out at 50 Å³/f.u. The calculated formation energy comes out at 296 meV per atom. The crystal system is cubic.

***

[11]
Entry from Alexandria via LeMat-Bulk: a geometry-optimized MnNiRu structure (PBE).

It has space group I4mm (No. 107), with a = 2.6303 Å, b = 2.6303 Å, c = 10.6869 Å, α = 90.00°, β = 90.00° and γ = 90.00°. Symmetry generates all atoms from Mn at (0.0000, 0.0000, 0.0000), Ni at (0.0000, 0.0000, 0.6602) and Ru at (0.0000, 0.0000, 0.3354).

The calculation puts the density of states at the Fermi level at 1.4489 states/eV/atom. The calculated volume comes out at 37 Å³/f.u. The calculated formation energy comes out at 101 meV per atom. The crystal system is tetragonal. The energy above the lowest structure with this stoichiometry comes out at 41.9 meV/atom.

***

[12]
Entry from Alexandria via LeMat-Bulk: a geometry-optimized Mn2NiRu2 structure (PBE).

It has space group P4/mbm (No. 127), with a = 7.0323 Å, b = 7.0323 Å, c = 2.6385 Å, α = 90.00°, β = 90.00° and γ = 90.00°. Symmetry generates all atoms from Mn at (0.1646, 0.3354, 0.0000), Ni at (0.0000, 0.0000, 0.5000) and Ru at (0.1322, 0.6322, 0.5000).

The calculation puts the density of states at the Fermi level at 1.1927 states/eV/atom. The calculated volume comes out at 65 Å³/f.u. The calculated formation energy comes out at 319 meV per atom. The crystal system is tetragonal. The energy above the lowest structure with this stoichiometry comes out at 69.4 meV/atom.

***

[13]
Entry from Alexandria via LeMat-Bulk: a geometry-optimized Mn2NiRu2 structure (PBE).

It has space group P4/mbm (No. 127), with a = 6.9387 Å, b = 6.9387 Å, c = 2.6587 Å, α = 90.00°, β = 90.00° and γ = 90.00°. Symmetry generates all atoms from Mn at (0.1211, 0.3789, 0.0000), Ni at (0.0000, 0.0000, 0.0000) and Ru at (0.1724, 0.6724, 0.5000).

The calculation puts the density of states at the Fermi level at 1.4937 states/eV/atom. The calculated volume comes out at 64 Å³/f.u. The calculated formation energy comes out at 250 meV per atom. The crystal system is tetragonal. The energy above the lowest structure with this stoichiometry comes out at 0.0 meV/atom.